[1]
The following is a PBE calculation of a geometry-optimized SmFeIr structure, from Alexandria via LeMat-Bulk.

Summary:
* energy relative to the elements: -0.343 eV/atom
* DFT total energy: -0.565 Ry per atom
* total moment: 2.23 Bohr magnetons per cell
* symmetry: P-6m2

```
data_SmFeIr
_symmetry_space_group_name_H-M 'P 1'
_symmetry_Int_Tables_number 1
_cell_length_a 4.112
_cell_length_b 4.112
_cell_length_c 4.162
_cell_angle_alpha 90.00
_cell_angle_beta 90.00
_cell_angle_gamma 120.00
loop_
_symmetry_equiv_pos_as_xyz
'x,y,z'
loop_
_atom_site_label
_atom_site_fract_x
_atom_site_fract_y
_atom_site_fract_z
Sm1 0.000 0.000 0.000
Fe1 0.333 0.667 0.500
Ir1 0.667 0.333 0.500
```

[2]
The following is a PBE calculation of a geometry-optimized FeSn3Ir structure, from Alexandria via LeMat-Bulk.

Summary:
* energy relative to the elements: 0.646 eV/atom
* DFT total energy: -0.384 Ry per atom
* total moment: 0.79 Bohr magnetons per cell
* symmetry: Pm-3m

```
data_FeSn3Ir
_symmetry_space_group_name_H-M 'P 1'
_symmetry_Int_Tables_number 1
_cell_length_a 4.833
_cell_length_b 4.833
_cell_length_c 4.833
_cell_angle_alpha 90.00
_cell_angle_beta 90.00
_cell_angle_gamma 90.00
loop_
_symmetry_equiv_pos_as_xyz
'x,y,z'
loop_
_atom_site_label
_atom_site_fract_x
_atom_site_fract_y
_atom_site_fract_z
Fe1 0.000 0.000 0.000
Sn1 0.000 0.000 0.500
Sn2 0.000 0.500 0.000
Sn3 0.500 0.000 0.000
Ir1 0.500 0.500 0.500
```

[3]
The following is a PBE calculation of a geometry-optimized FeSnIr2 structure, from Alexandria via LeMat-Bulk.

Summary:
* energy relative to the elements: 0.757 eV/atom
* DFT total energy: -0.499 Ry per atom
* total moment: 0.00 Bohr magnetons per cell
* symmetry: I-42d

```
data_FeSnIr2
_symmetry_space_group_name_H-M 'P 1'
_symmetry_Int_Tables_number 1
_cell_length_a 6.869
_cell_length_b 6.869
_cell_length_c 6.869
_cell_angle_alpha 132.23
_cell_angle_beta 132.23
_cell_angle_gamma 69.86
loop_
_symmetry_equiv_pos_as_xyz
'x,y,z'
loop_
_atom_site_label
_atom_site_fract_x
_atom_site_fract_y
_atom_site_fract_z
Fe1 0.000 0.000 0.000
Fe2 0.750 0.250 0.500
Sn1 0.250 0.750 0.500
Sn2 0.500 0.500 0.000
Ir1 0.066 0.625 0.941
Ir2 0.375 0.316 0.441
Ir3 0.684 0.125 0.059
Ir4 0.875 0.934 0.559
```

[4]
The following is a PBE calculation of a geometry-optimized FeSnIr structure, from Alexandria via LeMat-Bulk.

Summary:
* energy relative to the elements: 0.142 eV/atom
* DFT total energy: -0.512 Ry per atom
* total moment: 3.38 Bohr magnetons per cell
* symmetry: I4mm

```
data_FeSnIr
_symmetry_space_group_name_H-M 'P 1'
_symmetry_Int_Tables_number 1
_cell_length_a 4.851
_cell_length_b 4.851
_cell_length_c 4.851
_cell_angle_alpha 138.99
_cell_angle_beta 138.99
_cell_angle_gamma 59.39
loop_
_symmetry_equiv_pos_as_xyz
'x,y,z'
loop_
_atom_site_label
_atom_site_fract_x
_atom_site_fract_y
_atom_site_fract_z
Fe1 0.000 0.000 0.000
Sn1 0.324 0.324 0.000
Ir1 0.651 0.651 0.000
```